No. 1
LiTbAg3S4 | OQMD via LeMat-Bulk | GGA-PBE | relaxed; DFT total energy = -37.380 eV/cell
1.0
6.030 0.000 0.000
0.000 6.030 0.000
0.000 0.000 6.030
Li Tb Ag S
1 1 3 4
Direct
0.000 0.000 0.000
0.500 0.500 0.500
0.000 0.500 0.500
0.500 0.000 0.500
0.500 0.500 0.000
0.249 0.249 0.249
0.249 0.751 0.751
0.751 0.249 0.751
0.751 0.751 0.249

No. 2
LiTcAgS3 | OQMD via LeMat-Bulk | GGA-PBE | relaxed; DFT total energy = -58.101 eV/cell
1.0
1.646 -6.474 0.000
1.646 6.474 0.000
0.000 0.000 9.685
Li Tc Ag S
2 2 2 6
Direct
0.214 0.786 0.750
0.786 0.214 0.250
0.500 0.500 0.000
0.500 0.500 0.500
0.101 0.899 0.250
0.899 0.101 0.750
0.137 0.863 0.009
0.137 0.863 0.491
0.434 0.566 0.250
0.566 0.434 0.750
0.863 0.137 0.509
0.863 0.137 0.991

No. 3
LiTcAgTe2S | OQMD via LeMat-Bulk | GGA-PBE | relaxed; DFT total energy = -52.356 eV/cell
1.0
1.930 -6.932 0.000
1.930 6.932 0.000
0.000 0.000 10.325
Li Tc Ag Te S
2 2 2 4 2
Direct
0.177 0.823 0.750
0.823 0.177 0.250
0.500 0.500 0.000
0.500 0.500 0.500
0.058 0.942 0.250
0.942 0.058 0.750
0.145 0.855 0.019
0.145 0.855 0.481
0.855 0.145 0.519
0.855 0.145 0.981
0.438 0.562 0.250
0.562 0.438 0.750

No. 4
LiTcAgTeS2 | OQMD via LeMat-Bulk | GGA-PBE | relaxed; DFT total energy = -55.721 eV/cell
1.0
1.759 -6.745 0.000
1.759 6.745 0.000
0.000 0.000 10.204
Li Tc Ag Te S
2 2 2 2 4
Direct
0.229 0.771 0.750
0.771 0.229 0.250
0.000 0.000 0.000
0.000 0.000 0.500
0.431 0.569 0.250
0.569 0.431 0.750
0.099 0.901 0.250
0.901 0.099 0.750
0.374 0.626 0.027
0.374 0.626 0.473
0.626 0.374 0.527
0.626 0.374 0.973

No. 5
LiZrAgTe2S | OQMD via LeMat-Bulk | GGA-PBE | relaxed; DFT total energy = -55.918 eV/cell
1.0
2.022 -7.169 0.000
2.022 7.169 0.000
0.000 0.000 10.149
Li Zr Ag Te S
2 2 2 4 2
Direct
0.243 0.757 0.750
0.757 0.243 0.250
0.500 0.500 0.000
0.500 0.500 0.500
0.033 0.967 0.250
0.967 0.033 0.750
0.149 0.851 0.038
0.149 0.851 0.462
0.851 0.149 0.538
0.851 0.149 0.962
0.429 0.571 0.250
0.571 0.429 0.750

No. 6
LiZrAgTeS2 | OQMD via LeMat-Bulk | GGA-PBE | relaxed; DFT total energy = -60.000 eV/cell
1.0
1.875 -6.669 0.000
1.875 6.669 0.000
0.000 0.000 10.591
Li Zr Ag Te S
2 2 2 2 4
Direct
0.195 0.805 0.750
0.805 0.195 0.250
0.000 0.000 0.000
0.000 0.000 0.500
0.474 0.526 0.250
0.526 0.474 0.750
0.126 0.874 0.250
0.874 0.126 0.750
0.372 0.628 0.057
0.372 0.628 0.443
0.628 0.372 0.557
0.628 0.372 0.943

No. 7
LiThAgS3 | OQMD via LeMat-Bulk | GGA-PBE | relaxed; DFT total energy = -64.176 eV/cell
1.0
2.069 -6.315 0.000
2.069 6.315 0.000
0.000 0.000 10.817
Li Th Ag S
2 2 2 6
Direct
0.206 0.794 0.750
0.794 0.206 0.250
0.500 0.500 0.000
0.500 0.500 0.500
0.045 0.955 0.250
0.955 0.045 0.750
0.140 0.860 0.051
0.140 0.860 0.449
0.414 0.586 0.250
0.586 0.414 0.750
0.860 0.140 0.551
0.860 0.140 0.949

No. 8
LiTl2AgS4 | OQMD via LeMat-Bulk | GGA-PBE | relaxed; DFT total energy = -29.062 eV/cell
1.0
-2.934 2.934 5.881
2.934 -2.934 5.881
2.934 2.934 -5.881
Li Tl Ag S
1 2 1 4
Direct
0.000 0.000 0.000
0.250 0.750 0.500
0.500 0.500 0.000
0.750 0.250 0.500
0.117 0.635 0.996
0.365 0.360 0.482
0.640 0.121 0.004
0.879 0.883 0.518

No. 9
LiUAgS3 | OQMD via LeMat-Bulk | GGA-PBE | relaxed; DFT total energy = -68.662 eV/cell
1.0
2.030 -6.541 0.000
2.030 6.541 0.000
0.000 0.000 10.431
Li U Ag S
2 2 2 6
Direct
0.160 0.840 0.750
0.840 0.160 0.250
0.500 0.500 0.000
0.500 0.500 0.500
0.090 0.910 0.250
0.910 0.090 0.750
0.135 0.865 0.024
0.135 0.865 0.476
0.443 0.557 0.250
0.557 0.443 0.750
0.865 0.135 0.524
0.865 0.135 0.976

No. 10
LiZrAg3S4 | OQMD via LeMat-Bulk | GGA-PBE | relaxed; DFT total energy = -42.097 eV/cell
1.0
6.022 0.000 0.000
0.000 6.022 0.000
0.000 0.000 6.022
Li Zr Ag S
1 1 3 4
Direct
0.000 0.000 0.000
0.500 0.500 0.500
0.000 0.500 0.500
0.500 0.000 0.500
0.500 0.500 0.000
0.263 0.263 0.263
0.263 0.737 0.737
0.737 0.263 0.737
0.737 0.737 0.263

No. 11
LiZrAg3S4 | OQMD via LeMat-Bulk | GGA-PBE | relaxed; DFT total energy = -83.441 eV/cell
1.0
6.268 0.000 0.000
0.000 7.960 0.000
-0.751 0.000 8.767
Li Zr Ag S
2 2 6 8
Direct
0.174 0.250 0.213
0.826 0.750 0.787
0.178 0.750 0.282
0.822 0.250 0.718
0.276 0.042 0.540
0.276 0.458 0.540
0.360 0.250 0.817
0.640 0.750 0.183
0.724 0.542 0.460
0.724 0.958 0.460
0.037 0.750 0.542
0.042 0.250 0.950
0.407 0.502 0.258
0.407 0.998 0.258
0.593 0.002 0.742
0.593 0.498 0.742
0.958 0.750 0.050
0.963 0.250 0.458

No. 12
LiAg2Sb | OQMD via LeMat-Bulk | GGA-PBE | relaxed; DFT total energy = -12.446 eV/cell
1.0
0.000 3.365 3.365
3.365 0.000 3.365
3.365 3.365 0.000
Li Ag Sb
1 2 1
Direct
0.000 0.000 0.000
0.250 0.250 0.250
0.500 0.500 0.500
0.750 0.750 0.750

No. 13
Li2Ag2Sb | OQMD via LeMat-Bulk | GGA-PBE | relaxed; DFT total energy = -13.997 eV/cell
1.0
-1.983 1.983 5.874
1.983 -1.983 5.874
1.983 1.983 -5.874
Li Ag Sb
2 2 1
Direct
0.100 0.100 0.000
0.900 0.900 0.000
0.250 0.750 0.500
0.750 0.250 0.500
0.500 0.500 0.000

No. 14
LiScAg | OQMD via LeMat-Bulk | GGA-PBE | relaxed; DFT total energy = -10.778 eV/cell
1.0
0.000 3.215 3.215
3.215 0.000 3.215
3.215 3.215 0.000
Li Sc Ag
1 1 1
Direct
0.000 0.000 0.000
0.500 0.500 0.500
0.250 0.250 0.250

No. 15
Li2ScAg | OQMD via LeMat-Bulk | GGA-PBE | relaxed; DFT total energy = -13.132 eV/cell
1.0
0.000 3.303 3.303
3.303 0.000 3.303
3.303 3.303 0.000
Li Sc Ag
2 1 1
Direct
0.000 0.000 0.000
0.250 0.250 0.250
0.500 0.500 0.500
0.750 0.750 0.750

No. 16
Li2YScTl2Ag2 | OQMD via LeMat-Bulk | GGA-PBE | relaxed; DFT total energy = -29.092 eV/cell
1.0
4.831 0.000 0.000
0.000 4.831 0.000
0.000 0.000 6.849
Li Y Sc Tl Ag
2 1 1 2 2
Direct
0.000 0.500 0.238
0.500 0.000 0.762
0.000 0.000 0.500
0.500 0.500 0.000
0.000 0.000 0.000
0.500 0.500 0.500
0.000 0.500 0.762
0.500 0.000 0.238

No. 17
LiAgSe | OQMD via LeMat-Bulk | GGA-PBE | relaxed; DFT total energy = -40.469 eV/cell
1.0
2.886 -2.886 0.000
2.886 2.886 0.000
0.000 0.000 13.701
Li Ag Se
4 4 4
Direct
0.245 0.755 0.829
0.255 0.745 0.329
0.745 0.255 0.671
0.755 0.245 0.171
0.250 0.250 0.000
0.250 0.250 0.500
0.750 0.750 0.000
0.750 0.750 0.500
0.250 0.750 0.139
0.250 0.750 0.639
0.750 0.250 0.361
0.750 0.250 0.861

No. 18
LiAgSe | OQMD via LeMat-Bulk | GGA-PBE | relaxed; DFT total energy = -20.372 eV/cell
1.0
4.331 0.000 0.000
0.000 4.806 0.000
-0.337 0.000 5.859
Li Ag Se
2 2 2
Direct
0.238 0.000 0.051
0.762 0.500 0.949
0.193 0.806 0.569
0.807 0.306 0.431
0.278 0.500 0.209
0.722 0.000 0.791

No. 19
LiAgSe | OQMD via LeMat-Bulk | GGA-PBE | relaxed; DFT total energy = -20.101 eV/cell
1.0
4.605 0.000 0.000
0.000 5.880 0.000
-1.511 0.000 5.695
Li Ag Se
2 2 2
Direct
0.219 0.000 0.030
0.781 0.500 0.970
0.012 0.861 0.499
0.988 0.361 0.501
0.237 0.608 0.841
0.763 0.108 0.159

No. 20
Li2AgSe2 | OQMD via LeMat-Bulk | GGA-PBE | relaxed; DFT total energy = -17.171 eV/cell
1.0
4.209 -2.006 0.000
4.209 2.006 0.000
-1.310 0.000 5.752
Li Ag Se
2 1 2
Direct
0.150 0.150 0.209
0.850 0.850 0.791
0.500 0.500 0.500
0.149 0.149 0.765
0.851 0.851 0.235